[1]
5
Lattice="-0.1300 -3.3664 0.7905 1.9554 -0.7240 -2.7616 2.8519 0.3430 1.9295" Properties=species:S:1:pos:R:3 comment="H3IrS (PBE, relaxed)" polymorph_energy_ev_per_fu=2.87 space_group="Pm-3m, No. 221" total_energy_ev_per_cell=-16.408 pbc="T T T"
H 1.4260 0.1715 0.9648
H 0.9777 -0.3620 -1.3808
S 0.0000 0.0000 0.0000
Ir 2.3387 -1.8737 -0.0208
H -0.0650 -1.6832 0.3953


[2]
8
Lattice="4.7678 0.0000 0.0000 0.0000 4.7678 0.0000 2.3839 2.3839 5.3719" Properties=species:S:1:pos:R:3 comment="BaH2Ru (PBE, relaxed)" polymorph_energy_ev_per_fu=0.00 space_group="I-42d, No. 122" total_energy_ev_per_cell=-35.220 pbc="T T T"
H 5.9597 4.6515 4.0289
Ru 2.3839 4.7678 2.6860
H 2.2676 1.1919 1.3430
Ba 0.0000 0.0000 0.0000
H 3.5758 4.8840 4.0289
Ru 2.3839 2.3839 0.0000
Ba 4.7678 2.3839 2.6860
H 2.5001 3.5758 1.3430


[3]
9
Lattice="4.0504 0.0296 -0.9677 -0.6852 8.6400 -2.4791 0.2258 -0.3727 9.8180" Properties=species:S:1:pos:R:3 comment="Zn2CdI6 (PBE, relaxed)" space_group="P-1, No. 2" raw_formation_energy_ev_per_fu=-4.4 total_energy_ev_per_cell=-17.176 pbc="T T T"
Zn 3.0622 5.5267 4.0327
I -0.1156 2.1244 -0.4108
I 1.1633 3.5496 4.9949
I 3.7066 6.1724 6.7821
I 2.6914 0.8453 2.3396
I 0.8996 7.4515 4.0317
Zn 0.5288 2.7701 2.3386
Cd 2.0252 0.0148 -0.4838
I 2.4278 4.7472 1.3764


[4]
4
Lattice="-2.0513 1.9685 -1.2588 -0.1023 -3.0275 -4.5680 -4.1178 -2.9722 2.0621" Properties=species:S:1:pos:R:3 comment="Pu2HgPt (PBE, relaxed)" polymorph_energy_ev_per_fu=0.46 delta_e_f_ev_per_fu=-1.32 space_group="P4/mmm, No. 123" total_energy_ev_per_cell=-36.322 pbc="T T T"
Hg -3.1357 -2.0156 -1.8823
Pu -0.0511 -1.5137 -2.2840
Pu -2.0589 -1.4861 1.0310
Pt -1.0256 0.9843 -0.6294


Let's list calculated volume in order: 41.4; 122.1; 341.7; 93.4 Å³ per cell.
Let's list size of the total moment in order: 0.05; 0.00; 0.00; 11.40 μB/f.u..